1.
# PBE Sr2Zn4InHg3, optimized geometry
data_Sr2Zn4InHg3
_space_group_name_H-M_alt 'P 1'
_space_group_IT_number 1
_cell_length_a 4.499
_cell_length_b 4.499
_cell_length_c 11.931
_cell_angle_alpha 90.00
_cell_angle_beta 90.00
_cell_angle_gamma 90.00
loop_
_space_group_symop_operation_xyz
'x,y,z'
loop_
_atom_site_label
_atom_site_type_symbol
_atom_site_fract_x
_atom_site_fract_y
_atom_site_fract_z
_atom_site_occupancy
Sr1 Sr 0.500 0.000 0.250 1
Sr2 Sr 0.000 0.500 0.750 1
Zn1 Zn 0.500 0.500 0.000 1
Zn2 Zn 0.000 0.000 0.000 1
Zn3 Zn 0.500 0.000 0.639 1
Zn4 Zn 0.000 0.500 0.361 1
In1 In 0.500 0.500 0.500 1
Hg1 Hg 0.000 0.000 0.500 1
Hg2 Hg 0.500 0.000 0.864 1
Hg3 Hg 0.000 0.500 0.136 1
# - E_form: -0.28 eV per atom
# - E_tot: -14.9 eV for the cell shown
# - Density: 7.9 g/cm3

2.
# PBE Zr2OsCl, optimized geometry
data_Zr2OsCl
_space_group_name_H-M_alt 'P 1'
_space_group_IT_number 1
_cell_length_a 4.727
_cell_length_b 4.727
_cell_length_c 4.727
_cell_angle_alpha 60.00
_cell_angle_beta 60.00
_cell_angle_gamma 60.00
loop_
_space_group_symop_operation_xyz
'x,y,z'
loop_
_atom_site_label
_atom_site_type_symbol
_atom_site_fract_x
_atom_site_fract_y
_atom_site_fract_z
_atom_site_occupancy
Os1 Os 0.500 0.500 0.500 1
Zr1 Zr 0.250 0.250 0.250 1
Zr2 Zr 0.750 0.750 0.750 1
Cl1 Cl 0.000 0.000 0.000 1
# - Offset from the most stable computed form: 55.6 kJ per mole of atoms
# - E_tot: -30.6 eV for the cell shown
# - Formation energy (no corrections): -0.10 eV per atom
# - Density: 9.1 g/cm3

3.
# PBE Ho2TeO2, optimized geometry
data_Ho2TeO2
_space_group_name_H-M_alt 'P 1'
_space_group_IT_number 1
_cell_length_a 3.894
_cell_length_b 3.894
_cell_length_c 7.204
_cell_angle_alpha 90.00
_cell_angle_beta 90.00
_cell_angle_gamma 120.00
loop_
_space_group_symop_operation_xyz
'x,y,z'
loop_
_atom_site_label
_atom_site_type_symbol
_atom_site_fract_x
_atom_site_fract_y
_atom_site_fract_z
_atom_site_occupancy
Ho1 Ho 0.333 0.667 0.306 1
Ho2 Ho 0.667 0.333 0.694 1
Te1 Te 0.000 0.000 0.000 1
O1 O 0.333 0.667 0.619 1
O2 O 0.667 0.333 0.381 1
# - E_tot: -36.7 eV for the cell shown
# - Formation energy (no corrections): -2.89 eV per atom
# - Density: 8.6 g/cm3

4.
# PBE ReH5S, optimized geometry
data_ReH5S
_space_group_name_H-M_alt 'P 1'
_space_group_IT_number 1
_cell_length_a 2.906
_cell_length_b 3.961
_cell_length_c 8.537
_cell_angle_alpha 103.41
_cell_angle_beta 99.80
_cell_angle_gamma 90.00
loop_
_space_group_symop_operation_xyz
'x,y,z'
loop_
_atom_site_label
_atom_site_type_symbol
_atom_site_fract_x
_atom_site_fract_y
_atom_site_fract_z
_atom_site_occupancy
Re1 Re 0.851 0.351 0.702 1
H1 H 0.713 0.084 0.168 1
H2 H 0.952 0.452 0.903 1
H3 H 0.455 0.084 0.168 1
H4 H 0.391 0.619 0.781 1
H5 H 0.391 0.163 0.781 1
S1 S 0.779 0.779 0.558 1
# - E_tot: -32.1 eV for the cell shown
# - Density: 3.9 g/cm3

5.
# PBE CsK2Rb, optimized geometry
data_CsK2Rb
_space_group_name_H-M_alt 'P 1'
_space_group_IT_number 1
_cell_length_a 5.516
_cell_length_b 5.516
_cell_length_c 11.363
_cell_angle_alpha 90.00
_cell_angle_beta 90.00
_cell_angle_gamma 90.00
loop_
_space_group_symop_operation_xyz
'x,y,z'
loop_
_atom_site_label
_atom_site_type_symbol
_atom_site_fract_x
_atom_site_fract_y
_atom_site_fract_z
_atom_site_occupancy
Cs1 Cs 0.500 0.500 0.500 1
K1 K 0.000 0.000 0.767 1
K2 K 0.000 0.000 0.233 1
Rb1 Rb 0.500 0.500 0.000 1
# - Offset from the most stable computed form: 0.0 kJ per mole of atoms
# - E_form: 0.01 eV per atom
# - E_tot: -4.0 eV for the cell shown
# - Density: 1.4 g/cm3

6.
# PBE ReMo2Rh, optimized geometry
data_ReMo2Rh
_space_group_name_H-M_alt 'P 1'
_space_group_IT_number 1
_cell_length_a 3.947
_cell_length_b 3.947
_cell_length_c 3.896
_cell_angle_alpha 90.00
_cell_angle_beta 90.00
_cell_angle_gamma 90.00
loop_
_space_group_symop_operation_xyz
'x,y,z'
loop_
_atom_site_label
_atom_site_type_symbol
_atom_site_fract_x
_atom_site_fract_y
_atom_site_fract_z
_atom_site_occupancy
Mo1 Mo 0.000 0.000 0.000 1
Mo2 Mo 0.500 0.500 0.000 1
Re1 Re 0.500 0.000 0.500 1
Rh1 Rh 0.000 0.500 0.500 1
# - Offset from the most stable computed form: 0.7 kJ per mole of atoms
# - E_form: 0.00 eV per atom
# - E_tot: -41.4 eV for the cell shown
# - Density: 13.2 g/cm3

7.
# PBE LaPm2Y3Bi6, optimized geometry
data_LaPm2Y3Bi6
_space_group_name_H-M_alt 'P 1'
_space_group_IT_number 1
_cell_length_a 7.895
_cell_length_b 7.895
_cell_length_c 7.872
_cell_angle_alpha 99.62
_cell_angle_beta 99.62
_cell_angle_gamma 120.01
loop_
_space_group_symop_operation_xyz
'x,y,z'
loop_
_atom_site_label
_atom_site_type_symbol
_atom_site_fract_x
_atom_site_fract_y
_atom_site_fract_z
_atom_site_occupancy
La1 La 0.000 0.000 0.000 1
Pm1 Pm 0.333 0.667 0.000 1
Pm2 Pm 0.667 0.333 0.000 1
Y1 Y 0.165 0.835 0.500 1
Y2 Y 0.835 0.165 0.500 1
Y3 Y 0.500 0.500 0.500 1
Bi1 Bi 0.914 0.577 0.741 1
Bi2 Bi 0.749 0.749 0.257 1
Bi3 Bi 0.086 0.423 0.259 1
Bi4 Bi 0.577 0.914 0.741 1
Bi5 Bi 0.251 0.251 0.743 1
Bi6 Bi 0.423 0.086 0.259 1
# - E_form: -0.94 eV per atom
# - E_tot: -68.3 eV for the cell shown
# - Density: 8.1 g/cm3

8.
# PBE Tb3Y4Er2, optimized geometry
data_Tb3Y4Er2
_space_group_name_H-M_alt 'P 1'
_space_group_IT_number 1
_cell_length_a 5.020
_cell_length_b 7.943
_cell_length_c 14.674
_cell_angle_alpha 144.46
_cell_angle_beta 90.00
_cell_angle_gamma 108.42
loop_
_space_group_symop_operation_xyz
'x,y,z'
loop_
_atom_site_label
_atom_site_type_symbol
_atom_site_fract_x
_atom_site_fract_y
_atom_site_fract_z
_atom_site_occupancy
Tb1 Tb 0.556 0.113 0.666 1
Tb2 Tb 0.000 0.000 0.000 1
Tb3 Tb 0.444 0.887 0.334 1
Y1 Y 0.666 0.331 0.000 1
Y2 Y 0.334 0.669 0.000 1
Y3 Y 0.888 0.775 0.666 1
Y4 Y 0.112 0.225 0.334 1
Er1 Er 0.779 0.559 0.334 1
Er2 Er 0.221 0.441 0.666 1
# - Offset from the most stable computed form: 0.0 kJ per mole of atoms
# - E_form: 0.02 eV per atom
# - E_tot: -48.7 eV for the cell shown
# - Density: 6.8 g/cm3

9.
# PBE PaGaNiGe, optimized geometry
data_PaGaNiGe
_space_group_name_H-M_alt 'P 1'
_space_group_IT_number 1
_cell_length_a 3.042
_cell_length_b 5.045
_cell_length_c 5.012
_cell_angle_alpha 90.00
_cell_angle_beta 90.00
_cell_angle_gamma 90.00
loop_
_space_group_symop_operation_xyz
'x,y,z'
loop_
_atom_site_label
_atom_site_type_symbol
_atom_site_fract_x
_atom_site_fract_y
_atom_site_fract_z
_atom_site_occupancy
Pa1 Pa 0.500 0.500 0.500 1
Ga1 Ga 0.000 0.500 0.000 1
Ni1 Ni 0.000 0.000 0.500 1
Ge1 Ge 0.000 0.000 0.000 1
# - E_form: 0.12 eV per atom
# - E_tot: -22.4 eV for the cell shown
# - Density: 9.3 g/cm3

10.
# PBE LiAl2Cd, optimized geometry
data_LiAl2Cd
_space_group_name_H-M_alt 'P 1'
_space_group_IT_number 1
_cell_length_a 5.220
_cell_length_b 5.220
_cell_length_c 5.220
_cell_angle_alpha 134.25
_cell_angle_beta 134.25
_cell_angle_gamma 66.70
loop_
_space_group_symop_operation_xyz
'x,y,z'
loop_
_atom_site_label
_atom_site_type_symbol
_atom_site_fract_x
_atom_site_fract_y
_atom_site_fract_z
_atom_site_occupancy
Li1 Li 0.750 0.250 0.500 1
Al1 Al 0.000 0.000 0.000 1
Al2 Al 0.500 0.500 0.000 1
Cd1 Cd 0.250 0.750 0.500 1
# - E_form: -0.04 eV per atom
# - E_tot: -10.5 eV for the cell shown
# - Density: 4.0 g/cm3

11.
# PBE Rb2AgPb, optimized geometry
data_Rb2AgPb
_space_group_name_H-M_alt 'P 1'
_space_group_IT_number 1
_cell_length_a 4.758
_cell_length_b 6.959
_cell_length_c 6.959
_cell_angle_alpha 60.71
_cell_angle_beta 70.00
_cell_angle_gamma 70.00
loop_
_space_group_symop_operation_xyz
'x,y,z'
loop_
_atom_site_label
_atom_site_type_symbol
_atom_site_fract_x
_atom_site_fract_y
_atom_site_fract_z
_atom_site_occupancy
Rb1 Rb 0.058 0.865 0.020 1
Rb2 Rb 0.442 0.480 0.635 1
Ag1 Ag 0.750 0.971 0.529 1
Pb1 Pb 0.250 0.184 0.316 1
# - E_form: -0.01 eV per atom
# - E_tot: -8.5 eV for the cell shown
# - Density: 4.4 g/cm3

12.
# PBE Rb2AlOsF6, optimized geometry
data_Rb2AlOsF6
_space_group_name_H-M_alt 'P 1'
_space_group_IT_number 1
_cell_length_a 5.584
_cell_length_b 5.584
_cell_length_c 6.786
_cell_angle_alpha 65.70
_cell_angle_beta 65.70
_cell_angle_gamma 90.00
loop_
_space_group_symop_operation_xyz
'x,y,z'
loop_
_atom_site_label
_atom_site_type_symbol
_atom_site_fract_x
_atom_site_fract_y
_atom_site_fract_z
_atom_site_occupancy
Os1 Os 0.000 0.000 0.000 1
Al1 Al 0.500 0.500 0.000 1
Rb1 Rb 0.750 0.250 0.500 1
Rb2 Rb 0.250 0.750 0.500 1
F1 F 0.338 0.338 0.324 1
F2 F 0.662 0.662 0.676 1
F3 F 0.265 0.265 0.000 1
F4 F 0.735 0.735 0.000 1
F5 F 0.735 0.265 0.000 1
F6 F 0.265 0.735 0.000 1
# - E_tot: -50.4 eV for the cell shown
# - Formation energy (no corrections): -2.23 eV per atom
# - Density: 4.8 g/cm3